# 1
Density functional theory data (PBE-GGA) for a geometry-optimized Ce2IrBr structure.

## Properties
Fermi-level density of states: 3.00 states/eV/atom
ΔE_f (raw): -407.5 kJ/mol of formula units
uncorrected energy: -6.656 eV/atom

Cell: 8.002 8.002 8.002 Å, 29.80 29.80 29.80°
Fractional coordinates of all 4 atoms:
Ce: 0.232 0.232 0.232
Ce: 0.768 0.768 0.768
Ir: 0.500 0.500 0.500
Br: 0.000 0.000 0.000

***

# 2
Density functional theory data (PBE-GGA) for a geometry-optimized Ce8Ir3Br4N structure.

## Properties
Fermi-level density of states: 2.39 states/eV/atom
ΔE_f (raw): -1685.1 kJ/mol of formula units
uncorrected energy: -6.658 eV/atom

Cell: 8.951 8.951 8.951 Å, 52.97 52.97 52.97°
Fractional coordinates of all 16 atoms:
Ce: 0.232 0.232 0.232
Ce: 0.262 0.715 0.715
Ce: 0.285 0.285 0.738
Ce: 0.285 0.738 0.285
Ce: 0.715 0.262 0.715
Ce: 0.715 0.715 0.262
Ce: 0.738 0.285 0.285
Ce: 0.768 0.768 0.768
Ir: 0.000 0.000 0.500
Ir: 0.000 0.500 0.000
Ir: 0.500 0.000 0.000
Br: 0.000 0.000 0.000
Br: 0.000 0.500 0.500
Br: 0.500 0.000 0.500
Br: 0.500 0.500 0.000
N: 0.500 0.500 0.500

***

# 3
Density functional theory data (PBE-GGA) for a geometry-optimized Ce8NiIr3Br4 structure.

## Properties
Fermi-level density of states: 3.05 states/eV/atom
ΔE_f (raw): -1496.6 kJ/mol of formula units
uncorrected energy: -6.377 eV/atom

Cell: 8.192 8.192 8.985 Å, 117.08 117.08 60.05°
Fractional coordinates of all 16 atoms:
Ce: 0.231 0.231 0.696
Ce: 0.231 0.734 0.696
Ce: 0.266 0.769 0.304
Ce: 0.267 0.267 0.301
Ce: 0.733 0.733 0.699
Ce: 0.734 0.231 0.696
Ce: 0.769 0.266 0.304
Ce: 0.769 0.769 0.304
Ni: 0.000 0.000 0.500
Ir: 0.000 0.500 0.500
Ir: 0.500 0.000 0.500
Ir: 0.500 0.500 0.500
Br: 0.000 0.000 0.000
Br: 0.000 0.500 0.000
Br: 0.500 0.000 0.000
Br: 0.500 0.500 0.000

***

Q: Which of these has the highest ΔE_f (raw)?
A: Ce2IrBr

***

Q: Which of these has the lowest ΔE_f (raw)?
A: Ce8Ir3Br4N

***

Q: Among the records above, which one has the lowest uncorrected energy?
A: Ce8Ir3Br4N

***

Q: Which of these has the lowest uncorrected energy?
A: Ce8Ir3Br4N